Material: Ac2PmCoO6
Method: DFT, PBE with a Hubbard U
State: relaxed

Values from the calculation:
- E_tot (eV/f.u.) = -74.7
- total magnetic moment (Bohr magnetons per cell) = 3.998

Unit cell a=5.738 b=5.887 c=6.001 alpha=93.18 beta=117.32 gamma=116.87
Space group P-1 (No. 2)
Unique sites:
Ac1 0.015 0.241 0.275
Pm1 0.500 0.500 0.000
Co1 0.500 0.000 0.500
O1 0.025 0.783 0.156
O2 0.378 0.158 0.677
O3 0.379 0.681 0.660